(1)
An optimized crystal structure of Rb6MnBr8, computed with PBE.

Structure (CIF):
```
data_Rb6MnBr8
_chemical_formula_sum 'Rb18 Mn3 Br24'
_cell_length_a 10.1138
_cell_length_b 10.1138
_cell_length_c 19.8166
_cell_angle_alpha 90.00
_cell_angle_beta 90.00
_cell_angle_gamma 120.00
_space_group_name_H-M_alt 'R -3'
_space_group_IT_number 148
_space_group_name_Hall '-R 3'
loop_
_atom_site_label
_atom_site_fract_x
_atom_site_fract_y
_atom_site_fract_z
_atom_site_occupancy
Rb1 0.0232 0.4024 0.4194 1
Mn1 0.0000 0.0000 0.5000 1
Br1 0.0000 0.0000 0.1534 1
Br2 0.0116 0.2288 0.5800 1
```

Computed properties:
Formation energy without anion corrections (meV per atom): -1525
Fermi-level density of states (states/eV/f.u.): 0.0

***

(2)
An optimized crystal structure of Rb2Mn2Br7, computed with PBE.

Structure (CIF):
```
data_Rb2Mn2Br7
_chemical_formula_sum 'Rb4 Mn4 Br14'
_cell_length_a 5.7860
_cell_length_b 16.9012
_cell_length_c 9.2590
_cell_angle_alpha 90.00
_cell_angle_beta 99.87
_cell_angle_gamma 90.00
_space_group_name_H-M_alt 'P 1 21/c 1'
_space_group_IT_number 14
loop_
_space_group_symop_operation_xyz
'x,y,z'
'-x,-y,-z'
'-x,y+1/2,-z+1/2'
'x,-y+1/2,z+1/2'
loop_
_atom_site_label
_atom_site_fract_x
_atom_site_fract_y
_atom_site_fract_z
_atom_site_occupancy
Rb1 0.1294 0.1542 0.4649 1
Mn1 0.3136 0.6090 0.6223 1
Br1 0.0137 0.6525 0.4275 1
Br2 0.2583 0.5468 0.8509 1
Br3 0.4988 0.7319 0.7144 1
Br4 0.5000 0.0000 0.0000 1
```

Computed properties:
Formation energy without anion corrections (meV per atom): -1069
Fermi-level density of states (states/eV/f.u.): 2.2

***

(3)
An optimized crystal structure of Rb2MnSBr6, computed with PBE.

Structure (CIF):
```
data_Rb2MnSBr6
_chemical_formula_sum 'Rb4 Mn2 S2 Br12'
_cell_length_a 7.9271
_cell_length_b 7.9271
_cell_length_c 10.6406
_cell_angle_alpha 90.00
_cell_angle_beta 90.00
_cell_angle_gamma 90.00
_space_group_name_H-M_alt 'I 4/m m m'
_space_group_IT_number 139
_space_group_name_Hall '-I 4 2'
loop_
_atom_site_label
_atom_site_fract_x
_atom_site_fract_y
_atom_site_fract_z
_atom_site_occupancy
Rb1 0.0000 0.5000 0.2500 1
Mn1 0.0000 0.0000 0.0000 1
S1 0.0000 0.0000 0.5000 1
Br1 0.0000 0.0000 0.2693 1
Br2 0.2206 0.2206 0.0000 1
```

Computed properties:
Formation energy without anion corrections (meV per atom): -834
Fermi-level density of states (states/eV/f.u.): 8.9

***

(4)
An optimized crystal structure of RbMnSBr2, computed with PBE.

Structure (CIF):
```
data_RbMnSBr2
_chemical_formula_sum 'Rb1 Mn1 S1 Br2'
_cell_length_a 5.5017
_cell_length_b 5.5017
_cell_length_c 4.5832
_cell_angle_alpha 90.00
_cell_angle_beta 90.00
_cell_angle_gamma 90.00
_space_group_name_H-M_alt 'P 4/m m m'
_space_group_IT_number 123
_space_group_name_Hall '-P 4 2'
loop_
_atom_site_label
_atom_site_fract_x
_atom_site_fract_y
_atom_site_fract_z
_atom_site_occupancy
Rb1 0.0000 0.0000 0.0000 1
Mn1 0.5000 0.5000 0.5000 1
S1 0.5000 0.5000 0.0000 1
Br1 0.0000 0.5000 0.5000 1
```

Computed properties:
Formation energy without anion corrections (meV per atom): -880
Fermi-level density of states (states/eV/f.u.): 3.5

***

(5)
An optimized crystal structure of RbMn2SbBr8, computed with PBE.

Structure (CIF):
```
data_RbMn2SbBr8
_chemical_formula_sum 'Rb3 Mn6 Sb3 Br24'
_cell_length_a 6.8358
_cell_length_b 6.8358
_cell_length_c 33.0443
_cell_angle_alpha 90.00
_cell_angle_beta 90.00
_cell_angle_gamma 120.00
_space_group_name_H-M_alt 'R 3 2'
_space_group_IT_number 155
_space_group_name_Hall 'R 3 2"'
loop_
_atom_site_label
_atom_site_fract_x
_atom_site_fract_y
_atom_site_fract_z
_atom_site_occupancy
Rb1 0.0000 0.0000 0.0000 1
Mn1 0.0000 0.0000 0.2456 1
Sb1 0.0000 0.0000 0.5000 1
Br1 0.0000 0.0000 0.3188 1
Br2 0.0053 0.3549 0.2230 1
```

Computed properties:
Formation energy without anion corrections (meV per atom): -820

***

(6)
An optimized crystal structure of RbScMn2Br8, computed with PBE.

Structure (CIF):
```
data_RbScMn2Br8
_chemical_formula_sum 'Rb3 Sc3 Mn6 Br24'
_cell_length_a 6.7147
_cell_length_b 6.7147
_cell_length_c 32.5643
_cell_angle_alpha 90.00
_cell_angle_beta 90.00
_cell_angle_gamma 120.00
_space_group_name_H-M_alt 'R 3 2'
_space_group_IT_number 155
_space_group_name_Hall 'R 3 2"'
loop_
_atom_site_label
_atom_site_fract_x
_atom_site_fract_y
_atom_site_fract_z
_atom_site_occupancy
Rb1 0.0000 0.0000 0.0000 1
Sc1 0.0000 0.0000 0.5000 1
Mn1 0.0000 0.0000 0.2428 1
Br1 0.0000 0.0000 0.3173 1
Br2 0.0158 0.3680 0.2204 1
```

Computed properties:
Formation energy without anion corrections (meV per atom): -1173
Fermi-level density of states (states/eV/f.u.): 0.0

***

(7)
An optimized crystal structure of RbMnSeBr2, computed with PBE.

Structure (CIF):
```
data_RbMnSeBr2
_chemical_formula_sum 'Rb1 Mn1 Se1 Br2'
_cell_length_a 5.4612
_cell_length_b 5.4612
_cell_length_c 4.9035
_cell_angle_alpha 90.00
_cell_angle_beta 90.00
_cell_angle_gamma 90.00
_space_group_name_H-M_alt 'P 4/m m m'
_space_group_IT_number 123
_space_group_name_Hall '-P 4 2'
loop_
_atom_site_label
_atom_site_fract_x
_atom_site_fract_y
_atom_site_fract_z
_atom_site_occupancy
Rb1 0.0000 0.0000 0.0000 1
Mn1 0.5000 0.5000 0.5000 1
Se1 0.5000 0.5000 0.0000 1
Br1 0.0000 0.5000 0.5000 1
```

Computed properties:
Formation energy without anion corrections (meV per atom): -855
Fermi-level density of states (states/eV/f.u.): 4.2

***

(8)
An optimized crystal structure of RbMnSeBr2, computed with PBE.

Structure (CIF):
```
data_RbMnSeBr2
_chemical_formula_sum 'Rb1 Mn1 Se1 Br2'
_cell_length_a 5.6143
_cell_length_b 5.6143
_cell_length_c 5.6153
_cell_angle_alpha 90.00
_cell_angle_beta 90.00
_cell_angle_gamma 90.00
_space_group_name_H-M_alt 'P 4/m m m'
_space_group_IT_number 123
_space_group_name_Hall '-P 4 2'
loop_
_atom_site_label
_atom_site_fract_x
_atom_site_fract_y
_atom_site_fract_z
_atom_site_occupancy
Rb1 0.0000 0.0000 0.0000 1
Mn1 0.5000 0.5000 0.5000 1
Se1 0.0000 0.0000 0.5000 1
Br1 0.0000 0.5000 0.0000 1
```

Computed properties:
Formation energy without anion corrections (meV per atom): 597
Fermi-level density of states (states/eV/f.u.): 4.5

***

(9)
An optimized crystal structure of Rb2MnSiBr6, computed with PBE.

Structure (CIF):
```
data_Rb2MnSiBr6
_chemical_formula_sum 'Rb8 Mn4 Si4 Br24'
_cell_length_a 10.8549
_cell_length_b 10.8549
_cell_length_c 10.8549
_cell_angle_alpha 90.00
_cell_angle_beta 90.00
_cell_angle_gamma 90.00
_space_group_name_H-M_alt 'F m -3 m'
_space_group_IT_number 225
_space_group_name_Hall '-F 4 2 3'
loop_
_atom_site_label
_atom_site_fract_x
_atom_site_fract_y
_atom_site_fract_z
_atom_site_occupancy
Rb1 0.2500 0.2500 0.2500 1
Mn1 0.0000 0.0000 0.0000 1
Si1 0.0000 0.0000 0.5000 1
Br1 0.0000 0.0000 0.2473 1
```

Computed properties:
Formation energy without anion corrections (meV per atom): -1023
Fermi-level density of states (states/eV/f.u.): 0.0

***

(10)
An optimized crystal structure of RbSmMnBr6, computed with PBE.

Structure (CIF):
```
data_RbSmMnBr6
_chemical_formula_sum 'Rb2 Sm2 Mn2 Br12'
_cell_length_a 6.9798
_cell_length_b 6.9798
_cell_length_c 15.6793
_cell_angle_alpha 90.00
_cell_angle_beta 90.00
_cell_angle_gamma 120.00
_space_group_name_H-M_alt 'P -3 1 c'
_space_group_IT_number 163
_space_group_name_Hall '-P 3 2c'
loop_
_atom_site_label
_atom_site_fract_x
_atom_site_fract_y
_atom_site_fract_z
_atom_site_occupancy
Rb1 0.0000 0.0000 0.0000 1
Sm1 0.3333 0.6667 0.2500 1
Mn1 0.3333 0.6667 0.7500 1
Br1 0.0367 0.3836 0.6522 1
```

Computed properties:
Formation energy without anion corrections (meV per atom): -1226
Fermi-level density of states (states/eV/f.u.): 8.4

***

(11)
An optimized crystal structure of Rb2MnSnBr, computed with PBE.

Structure (CIF):
```
data_Rb2MnSnBr
_chemical_formula_sum 'Rb2 Mn1 Sn1 Br1'
_cell_length_a 6.4904
_cell_length_b 6.4904
_cell_length_c 5.0660
_cell_angle_alpha 90.00
_cell_angle_beta 90.00
_cell_angle_gamma 90.00
_space_group_name_H-M_alt 'P 4/m m m'
_space_group_IT_number 123
_space_group_name_Hall '-P 4 2'
loop_
_atom_site_label
_atom_site_fract_x
_atom_site_fract_y
_atom_site_fract_z
_atom_site_occupancy
Rb1 0.0000 0.5000 0.0000 1
Mn1 0.0000 0.0000 0.5000 1
Sn1 0.5000 0.5000 0.5000 1
Br1 0.0000 0.0000 0.0000 1
```

Computed properties:
Formation energy without anion corrections (meV per atom): 139
Fermi-level density of states (states/eV/f.u.): 4.9

***

(12)
An optimized crystal structure of Rb2MnSnBr6, computed with PBE.

Structure (CIF):
```
data_Rb2MnSnBr6
_chemical_formula_sum 'Rb8 Mn4 Sn4 Br24'
_cell_length_a 11.2403
_cell_length_b 11.2403
_cell_length_c 11.2403
_cell_angle_alpha 90.00
_cell_angle_beta 90.00
_cell_angle_gamma 90.00
_space_group_name_H-M_alt 'F m -3 m'
_space_group_IT_number 225
_space_group_name_Hall '-F 4 2 3'
loop_
_atom_site_label
_atom_site_fract_x
_atom_site_fract_y
_atom_site_fract_z
_atom_site_occupancy
Rb1 0.2500 0.2500 0.2500 1
Mn1 0.0000 0.0000 0.0000 1
Sn1 0.0000 0.0000 0.5000 1
Br1 0.0000 0.0000 0.2380 1
```

Computed properties:
Formation energy without anion corrections (meV per atom): -1163
Fermi-level density of states (states/eV/f.u.): 0.0

***

- Look up the formation energy without anion corrections of the fifth one.
  -820 meV per atom

***

- Look up the formation energy without anion corrections of the sixth one.
  -1173 meV per atom

***

- What is the formation energy without anion corrections in the second record?
  -1069 meV per atom

***

- What is the formula in the ninth record?
  Rb2MnSiBr6